1.
Compound: Fe3Co4
Source: the Alexandria database
Functional: GGA-PBE
Structure: relaxed

a = 4.5293 Å, b = 4.5293 Å, c = 4.5320 Å
α = 90.00°, β = 90.00°, γ = 120.00°
Space group P6/mmm (No. 191)
Unique sites:
1 Fe 0.0000 0.5000 0.0000
2 Co 0.0000 0.0000 0.2611
3 Co 0.3333 0.6667 0.5000

## Properties
Density of states at the Fermi level   1.22 states/eV/atom
Formation energy from the elements   165 meV/atom

---

2.
Compound: BeAlHg
Source: the Alexandria database
Functional: GGA-PBE
Structure: relaxed

a = 4.713 Å, b = 3.897 Å, c = 5.977 Å
α = 90.00°, β = 106.78°, γ = 90.00°
Space group P2_1/m (No. 11)
Unique sites:
1 Be 0.120 0.250 0.017
2 Al 0.330 0.750 0.865
3 Hg 0.220 0.750 0.397

## Properties
Density of states at the Fermi level   0.14 states/eV/atom
Formation energy from the elements   171 meV/atom

---

3.
Compound: Tl2SbP
Source: the Alexandria database
Functional: GGA-PBE
Structure: relaxed

a = 4.335 Å, b = 4.335 Å, c = 11.363 Å
α = 90.00°, β = 90.00°, γ = 90.00°
Space group I4/mmm (No. 139)
Unique sites:
1 Tl 0.000 0.500 0.250
2 Sb 0.000 0.000 0.000
3 P 0.000 0.000 0.500

## Properties
Energy relative to the elements, uncorrected   1.2 eV/f.u.
Density of states at the Fermi level   0.53 states/eV/atom

---

4.
Compound: LaLuGaSn
Source: the Alexandria database
Functional: GGA-PBE
Structure: relaxed

a = 7.504 Å, b = 7.504 Å, c = 7.504 Å
α = 90.00°, β = 90.00°, γ = 90.00°
Space group F-43m (No. 216)
Unique sites:
1 La 0.000 0.000 0.000
2 Lu 0.000 0.000 0.500
3 Ga 0.250 0.250 0.250
4 Sn 0.250 0.250 0.750

## Properties
Density of states at the Fermi level   0.71 states/eV/atom
Formation energy from the elements   -548 meV/atom

---

5.
Compound: LaTiZn4
Source: the Alexandria database
Functional: GGA-PBE
Structure: relaxed

a = 7.620 Å, b = 7.620 Å, c = 7.620 Å
α = 90.00°, β = 90.00°, γ = 90.00°
Space group F-43m (No. 216)
Unique sites:
1 La 0.000 0.000 0.000
2 Ti 0.250 0.250 0.250
3 Zn 0.124 0.124 0.624

## Properties
Density of states at the Fermi level   1.16 states/eV/atom
Formation energy from the elements   -166 meV/atom

---

6.
Compound: NaCa3C
Source: the Alexandria database
Functional: GGA-PBE
Structure: relaxed

a = 6.028 Å, b = 6.028 Å, c = 6.028 Å
α = 90.00°, β = 90.00°, γ = 90.00°
Space group Pm-3m (No. 221)
Unique sites:
1 Na 0.000 0.000 0.000
2 Ca 0.000 0.000 0.500
3 C 0.500 0.500 0.500

## Properties
Density of states at the Fermi level   0.92 states/eV/atom
Formation energy from the elements   1717 meV/atom